# 1
DFT (PBE) results for an optimized crystal structure of Li2AcLaAu2.

## Properties
- Calculated formation energy: -3.28 eV per formula unit
- Space-group type: P-3m1
- Fermi-level density of states: 0.997 states/eV/atom

Cell: 4.7073 4.7073 7.7244 Å, 90.00 90.00 120.00°
With the nearest neighbours (Å) after each atom.
Positions (direct):
Li1 0.3333 0.6667 0.7285  3 Au 2.72
La1 0.0000 0.0000 0.5000  6 Li 3.24, 6 Au 3.27
Au1 0.6667 0.3333 0.7363  3 Li 2.72
Ac1 0.0000 0.0000 0.0000  6 Au 3.40, 6 Li 3.43
Li2 0.6667 0.3333 0.2715  3 Au 2.72
Au2 0.3333 0.6667 0.2637  3 Li 2.72

# 2
DFT (PBE) results for an optimized crystal structure of Li2Ac3La2Au4.

## Properties
- Calculated formation energy: -5.88 eV per formula unit
- Space-group type: P-3m1
- Fermi-level density of states: 1.156 states/eV/atom

Cell: 4.7754 4.7754 16.4023 Å, 90.00 90.00 120.00°
With the nearest neighbours (Å) after each atom.
Positions (direct):
La1 0.6667 0.3333 0.4234  3 Au 3.03
Ac1 0.0000 0.0000 0.2422  6 Au 3.25-3.42, 3 Li 3.35
Li1 0.6667 0.3333 0.8738  3 Au 2.76
La2 0.3333 0.6667 0.5766  3 Au 3.03
Au1 0.3333 0.6667 0.8813  3 Li 2.76
Au2 0.3333 0.6667 0.3467  3 La 3.03, 3 Ac 3.25
Ac2 0.0000 0.0000 0.0000  6 Au 3.37, 6 Li 3.45
Li2 0.3333 0.6667 0.1262  3 Au 2.76
Au3 0.6667 0.3333 0.1187  3 Li 2.76
Ac3 0.0000 0.0000 0.7578  6 Au 3.25-3.42, 3 Li 3.35
Au4 0.6667 0.3333 0.6533  3 La 3.03, 3 Ac 3.25

# 3
DFT (PBE) results for an optimized crystal structure of Li2AcLaAu4.

## Properties
- Calculated formation energy: -5.86 eV per formula unit
- Space-group type: R-3m
- Fermi-level density of states: 0.587 states/eV/atom

Cell: 4.6257 4.6257 10.4649 Å, 77.23 77.23 60.00°
With the nearest neighbours (Å) after each atom.
Positions (direct):
La1 0.5000 0.5000 0.5000  8 Au 3.18-3.19
Au1 0.1092 0.1092 0.6723  3 Li 2.76, 3 Au 3.03
Li1 0.7531 0.7531 0.7408  6 Au 2.76-2.77
Au2 0.8908 0.8908 0.3277  3 Li 2.76, 3 Au 3.03
Au3 0.3951 0.3951 0.8146  3 Li 2.77, 3 Au 3.03
Ac1 0.0000 0.0000 0.0000  8 Au 3.26-3.32
Li2 0.2469 0.2469 0.2592  6 Au 2.76-2.77
Au4 0.6049 0.6049 0.1854  3 Li 2.77, 3 Au 3.03

# 4
DFT (PBE) results for an optimized crystal structure of AcLaMgAu.

## Properties
- Calculated formation energy: -1.41 eV per formula unit
- Space-group type: F-43m
- Fermi-level density of states: 0.950 states/eV/atom

Cell: 5.5657 5.5657 5.5657 Å, 60.00 60.00 60.00°
With the nearest neighbours (Å) after each atom.
Positions (direct):
Mg1 0.5000 0.5000 0.5000  4 La 3.41, 4 Ac 3.41
Ac1 0.2500 0.2500 0.2500  4 Mg 3.41, 4 Au 3.41
Au1 0.0000 0.0000 0.0000  4 La 3.41, 4 Ac 3.41
La1 0.7500 0.7500 0.7500  4 Mg 3.41, 4 Au 3.41

# 5
DFT (PBE) results for an optimized crystal structure of AcLa2AuN.

## Properties
- Space-group type: P4mm
- Formation energy from raw total energies: -362 kJ/mol of formula units
- Fermi-level density of states: 1.100 states/eV/atom

Cell: 5.0257 5.0256 5.3581 Å, 90.00 90.00 90.00°
With the nearest neighbours (Å) after each atom.
Positions (direct):
N1 0.0000 0.0000 0.9996  4 La 2.51, 2 Ac 2.68
La1 0.0000 0.5000 0.9993  2 N 2.51
La2 0.5000 0.0000 0.9994  2 N 2.51
Au1 0.5000 0.5000 0.5020  4 Ac 3.55, 8 La 3.66-3.68
Ac1 0.0000 0.0000 0.4996  2 N 2.68

# 6
DFT (PBE) results for an optimized crystal structure of AcLaNiAu.

## Properties
- Energy relative to the lowest polymorph listed for this composition: 0 meV/atom
- Calculated formation energy: -2.05 eV per formula unit
- Space-group type: Amm2
- Fermi-level density of states: 0.893 states/eV/atom

Cell: 4.0993 4.7324 5.9763 Å, 90.00 110.06 90.00°
With the nearest neighbours (Å) after each atom.
Positions (direct):
Au1 0.5765 0.5000 0.1530  2 Ni 2.97, 3 La 3.13-3.25, 4 Ac 3.21
Ni1 0.4170 0.0000 0.8340  2 Au 2.97, 3 Ac 3.10-3.24, 4 La 3.18
La1 0.8656 0.5000 0.7311  3 Au 3.13-3.25, 4 Ni 3.18
Ac1 0.1409 0.0000 0.2818  3 Ni 3.10-3.24, 4 Au 3.21

no.,volume (Å³/f.u.)
1,148.23
2,323.94
3,187.50
4,121.91
5,135.33
6,108.91